The following is a DFT calculation (PBE-GGA) of a relaxed structure of Ta2AlHgN.

Summary:
SG: P4/mmm
ΔE_f (raw): -0.061 eV/atom

```
5
Lattice="4.263 0.000 0.000 0.000 4.263 0.000 0.000 0.000 4.267" Properties=species:S:1:pos:R:3 pbc="T T T"
Ta 0.000 2.132 0.000
Ta 2.132 0.000 0.000
Al 0.000 0.000 2.133
Hg 2.132 2.132 2.133
N 0.000 0.000 0.000
```

=====

The following is a DFT calculation (PBE-GGA) of a relaxed structure of AlHgTeN2.

Summary:
SG: P4/mmm
ΔE_f (raw): 1.768 eV/atom
polymorph energy (0 for the lowest one): 0.909 eV per atom

```
5
Lattice="4.232 0.000 0.000 0.000 4.232 0.000 0.000 0.000 6.757" Properties=species:S:1:pos:R:3 pbc="T T T"
Al 0.000 0.000 0.000
Hg 2.116 2.116 3.379
Te 2.116 2.116 0.000
N 0.000 2.116 3.379
N 2.116 0.000 3.379
```

=====

The following is a DFT calculation (PBE-GGA) of a relaxed structure of AlHgTeN2.

Summary:
SG: P4/mmm
ΔE_f (raw): 0.859 eV/atom
polymorph energy (0 for the lowest one): 0.000 eV per atom

```
5
Lattice="3.902 0.000 0.000 0.000 3.902 0.000 0.000 0.000 6.064" Properties=species:S:1:pos:R:3 pbc="T T T"
Al 0.000 0.000 0.000
Hg 1.951 1.951 3.032
Te 0.000 0.000 3.032
N 0.000 1.951 0.000
N 1.951 0.000 0.000
```

=====

The following is a DFT calculation (PBE-GGA) of a relaxed structure of Ti2AlHgN.

Summary:
SG: P4/mmm
ΔE_f (raw): 1.603 eV/atom

```
5
Lattice="5.247 0.000 0.000 0.000 5.247 0.000 0.000 0.000 3.908" Properties=species:S:1:pos:R:3 pbc="T T T"
Ti 0.000 2.623 0.000
Ti 2.623 0.000 0.000
Al 0.000 0.000 1.954
Hg 2.623 2.623 0.000
N 2.623 2.623 1.954
```

=====

The following is a DFT calculation (PBE-GGA) of a relaxed structure of Al2HgWN.

Summary:
SG: P4/mmm
ΔE_f (raw): 0.686 eV/atom

```
5
Lattice="4.006 0.000 0.000 0.000 4.006 0.000 0.000 0.000 4.629" Properties=species:S:1:pos:R:3 pbc="T T T"
Al 0.000 2.003 0.000
Al 2.003 0.000 0.000
Hg 0.000 0.000 2.315
W 2.003 2.003 2.315
N 0.000 0.000 0.000
```

=====

The following is a DFT calculation (PBE-GGA) of a relaxed structure of Na2AlHg.

Summary:
SG: P4/mmm
formation energy from the elements: 23 meV/atom

```
4
Lattice="3.185 0.000 0.000 0.000 3.185 0.000 0.000 0.000 9.632" Properties=species:S:1:pos:R:3 pbc="T T T"
Na 0.000 0.000 2.394
Na 0.000 0.000 7.238
Al 1.592 1.592 0.000
Hg 1.592 1.592 4.816
```

=====

The following is a DFT calculation (PBE-GGA) of a relaxed structure of Na2AlHg.

Summary:
SG: R-3m
formation energy from the elements: 169 meV/atom

```
4
Lattice="1.627 0.939 11.387 -1.627 0.939 11.387 0.000 -1.879 11.387" Properties=species:S:1:pos:R:3 pbc="T T T"
Na 0.000 0.000 3.066
Na 0.000 0.000 31.095
Al 0.000 0.000 0.000
Hg 0.000 0.000 17.080
```

=====

The following is a DFT calculation (PBE-GGA) of a relaxed structure of NaAl4Hg.

Summary:
SG: F-43m
formation energy from the elements: 114 meV/atom

```
6
Lattice="0.000 3.949 3.949 3.949 0.000 3.949 3.949 3.949 0.000" Properties=species:S:1:pos:R:3 pbc="T T T"
Na 0.000 0.000 0.000
Al 2.959 2.959 2.959
Al 4.939 4.939 2.959
Al 4.939 2.959 4.939
Al 2.959 4.939 4.939
Hg 5.924 5.924 5.924
```

=====

The following is a DFT calculation (PBE-GGA) of a relaxed structure of NaAl3Hg.

Summary:
SG: Pm-3m
formation energy from the elements: 574 meV/atom
polymorph energy (0 for the lowest one): 0.000 eV per atom

```
5
Lattice="5.222 0.000 0.000 0.000 5.222 0.000 0.000 0.000 5.222" Properties=species:S:1:pos:R:3 pbc="T T T"
Na 0.000 0.000 0.000
Al 0.000 2.611 2.611
Al 2.611 0.000 2.611
Al 2.611 2.611 0.000
Hg 2.611 2.611 2.611
```

=====

The following is a DFT calculation (PBE-GGA) of a relaxed structure of Na2Al2Hg.

Summary:
SG: P4/mbm
formation energy from the elements: 49 meV/atom
polymorph energy (0 for the lowest one): 0.000 eV per atom

```
10
Lattice="6.930 0.000 0.000 0.000 6.930 0.000 0.000 0.000 5.118" Properties=species:S:1:pos:R:3 pbc="T T T"
Na 1.196 2.268 0.000
Na 2.268 5.733 0.000
Na 4.661 1.196 0.000
Na 5.733 4.661 0.000
Al 0.917 4.381 2.559
Al 2.548 0.917 2.559
Al 4.381 6.013 2.559
Al 6.013 2.548 2.559
Hg 0.000 0.000 2.559
Hg 3.465 3.465 2.559
```

=====

The following is a DFT calculation (PBE-GGA) of a relaxed structure of Na2AlHg.

Summary:
SG: P4/mmm
formation energy from the elements: 33 meV/atom

```
4
Lattice="4.294 0.000 0.000 0.000 4.294 0.000 0.000 0.000 5.087" Properties=species:S:1:pos:R:3 pbc="T T T"
Na 0.000 2.147 0.000
Na 2.147 0.000 0.000
Al 0.000 0.000 2.544
Hg 2.147 2.147 2.544
```

=====

The following is a DFT calculation (PBE-GGA) of a relaxed structure of NaAlHg3.

Summary:
SG: Pm-3m
formation energy from the elements: -9 meV/atom
polymorph energy (0 for the lowest one): 0.000 eV per atom

```
5
Lattice="5.285 0.000 0.000 0.000 5.285 0.000 0.000 0.000 5.285" Properties=species:S:1:pos:R:3 pbc="T T T"
Na 0.000 0.000 0.000
Al 2.642 2.642 2.642
Hg 0.000 2.642 2.642
Hg 2.642 0.000 2.642
Hg 2.642 2.642 0.000
```